1.
This record from the Alexandria database describes a geometry-optimized SrBeCr2 structure. The functional is GGA-PBE.

a = 4.893 Å, b = 4.893 Å, c = 4.893 Å
α = 60.00°, β = 60.00°, γ = 60.00°
Each line ends with the local moment (μB).
Fractional positions:
Be1 0.500 0.500 0.500  -0.17
Cr1 0.000 0.000 0.000  3.79
Cr2 0.250 0.250 0.250  3.64
Sr1 0.750 0.750 0.750  0.01

Properties
**Magnetization**: 7.9 μB per cell
**Formation energy from the elements**: 1.086 eV/atom
**SG**: F-43m (216)

---

2.
This record from the Alexandria database describes a geometry-optimized FeNi2Sb2 structure. The functional is GGA-PBE.

a = 6.697 Å, b = 6.697 Å, c = 3.630 Å
α = 90.00°, β = 90.00°, γ = 90.00°
Each line ends with the local moment (μB).
Fractional positions:
Ni1 0.130 0.370 0.000  0.08
Ni2 0.630 0.130 0.000  0.08
Ni3 0.370 0.870 0.000  0.08
Ni4 0.870 0.630 0.000  0.08
Sb1 0.326 0.174 0.500  -0.02
Sb2 0.674 0.826 0.500  -0.02
Sb3 0.826 0.326 0.500  -0.02
Sb4 0.174 0.674 0.500  -0.02
Fe1 0.000 0.000 0.000  2.78
Fe2 0.500 0.500 0.000  2.80

Properties
**Magnetization**: 5.7 μB per cell
**Uncorrected formation energy**: 0.14 eV per atom
**SG**: P4/mbm (127)

---

3.
This record from the Alexandria database describes a geometry-optimized TaMn2Nb structure. The functional is GGA-PBE.

a = 5.723 Å, b = 5.723 Å, c = 5.723 Å
α = 58.25°, β = 151.61°, γ = 130.27°
Each line ends with the local moment (μB).
Fractional positions:
Ta1 0.000 0.500 0.500  -0.30
Mn1 0.000 0.251 0.251  2.60
Mn2 0.000 0.749 0.749  2.60
Nb1 0.000 0.000 0.000  -0.38

Properties
**Magnetization**: 4.4 μB per cell
**Formation energy from the elements**: 0.794 eV/atom
**Distance to the lowest polymorph of the same formula**: 3.907 eV/f.u.
**SG**: Immm (71)

---

4.
This record from the Alexandria database describes a geometry-optimized AcBeCo3B structure. The functional is GGA-PBE.

a = 5.550 Å, b = 5.485 Å, c = 6.143 Å
α = 116.52°, β = 90.00°, γ = 90.00°
Each line ends with the local moment (μB).
Fractional positions:
B1 0.750 0.984 0.967  -0.01
B2 0.250 0.016 0.033  -0.01
Co1 0.000 0.245 0.000  0.11
Co2 0.500 0.755 0.000  0.11
Co3 0.500 0.245 0.000  0.11
Co4 0.750 0.807 0.614  0.27
Co5 0.250 0.193 0.386  0.27
Co6 0.000 0.755 0.000  0.11
Ac1 0.750 0.257 0.513  -0.01
Ac2 0.250 0.743 0.487  -0.01
Be1 0.750 0.597 0.195  -0.01
Be2 0.250 0.403 0.805  -0.01

Properties
**Magnetization**: 0.8 μB per cell
**Formation energy from the elements**: -0.025 eV/atom
**SG**: Cmcm (63)